[1]
The following is a PBE calculation of a relaxed K2TcAu crystal, from Alexandria via LeMat-Bulk.

Computed properties:
density of states at the Fermi level: 3.343 states/eV/f.u.
E: -12.09 eV for the cell shown
excess energy over the best structure of this formula in the dataset: 1.26 eV per formula unit
space-group type: R-3m, No. 166
V: 22.89 A^3/atom

```
K2TcAu
1.0
-1.443 -10.629 -4.000
1.611 -10.652 -3.873
-0.028 -11.363 -1.391
K Tc Au
2 1 1
Direct
0.499 0.499 0.499 K
0.001 0.001 0.001 K
0.250 0.250 0.250 Tc
0.750 0.750 0.750 Au
```



[2]
The following is a PBE calculation of a relaxed LiSbPb2 crystal, from Alexandria via LeMat-Bulk.

Computed properties:
E_form (uncorrected): -95 meV per atom
density of states at the Fermi level: 2.036 states/eV/f.u.
E: -13.83 eV for the cell shown
space-group type: Immm, No. 71
V: 27.76 A^3/atom

```
LiSbPb2
1.0
-5.868 -1.262 -0.738
-1.728 -5.129 2.698
3.080 4.893 1.773
Pb Li Sb
2 1 1
Direct
0.499 0.499 0.000 Pb
0.001 0.001 0.000 Pb
0.250 0.750 0.500 Li
0.750 0.250 0.500 Sb
```



Repeat the first record exactly.
The following is a PBE calculation of a relaxed K2TcAu crystal, from Alexandria via LeMat-Bulk.

Computed properties:
density of states at the Fermi level: 3.343 states/eV/f.u.
E: -12.09 eV for the cell shown
excess energy over the best structure of this formula in the dataset: 1.26 eV per formula unit
space-group type: R-3m, No. 166
V: 22.89 A^3/atom

```
K2TcAu
1.0
-1.443 -10.629 -4.000
1.611 -10.652 -3.873
-0.028 -11.363 -1.391
K Tc Au
2 1 1
Direct
0.499 0.499 0.499 K
0.001 0.001 0.001 K
0.250 0.250 0.250 Tc
0.750 0.750 0.750 Au
```



Among the records above, which one has the highest density of states at the Fermi level?
K2TcAu



What is the density of states at the Fermi level in the second record?
2.036 states/eV/f.u.